[1]
{
  "formula": "Ti2Pd6Pt",
  "functional": "GGA-PBE",
  "state": "optimized geometry",
  "crystal_system": "monoclinic",
  "de_polymorph_mev_per_atom": 3,
  "total_magnetization_mub_per_cell": 0.00,
  "formation_enthalpy_0k_ev_per_atom": -0.5657,
  "dos_ef_per_ev_atom": 0.70,
  "lattice_angstrom": [[5.951, -1.926, 0.000], [5.951, 1.926, 0.000], [-1.950, 0.000, 6.025]],
  "species": ["Ti", "Ti", "Pd", "Pd", "Pd", "Pd", "Pd", "Pd", "Pt"],
  "frac_coords": [[0.059, 0.059, 0.318], [0.941, 0.941, 0.682], [0.166, 0.166, 0.002], [0.282, 0.282, 0.663], [0.396, 0.396, 0.338], [0.604, 0.604, 0.662], [0.718, 0.718, 0.337], [0.834, 0.834, 0.998], [0.500, 0.500, 0.000]]
}

=====

[2]
{
  "formula": "CsScP2Cl",
  "functional": "GGA-PBE",
  "state": "optimized geometry",
  "crystal_system": "tetragonal",
  "de_polymorph_mev_per_atom": 0,
  "e_form_raw_ev_per_atom": -0.62,
  "total_magnetization_mub_per_cell": 1.05,
  "dos_ef_per_ev_atom": 0.69,
  "lattice_angstrom": [[5.084, 0.000, 0.000], [0.000, 5.084, 0.000], [0.000, 0.000, 5.551]],
  "species": ["Cs", "Sc", "P", "P", "Cl"],
  "frac_coords": [[0.000, 0.000, 0.000], [0.500, 0.500, 0.500], [0.000, 0.500, 0.500], [0.500, 0.000, 0.500], [0.500, 0.500, 0.000]]
}

=====

[3]
{
  "formula": "YCu",
  "functional": "GGA-PBE",
  "state": "optimized geometry",
  "crystal_system": "cubic",
  "total_magnetization_mub_per_cell": 0.00,
  "formation_enthalpy_0k_ev_per_atom": -0.2425,
  "dos_ef_per_ev_atom": 0.72,
  "lattice_angstrom": [[3.482, 0.000, 0.000], [0.000, 3.482, 0.000], [0.000, 0.000, 3.482]],
  "species": ["Y", "Cu"],
  "frac_coords": [[0.000, 0.000, 0.000], [0.500, 0.500, 0.500]]
}